# PBE-GGA HgI, relaxed
data_HgI
_cell_length_a 6.169
_cell_length_b 9.964
_cell_length_c 6.824
_cell_angle_alpha 90.00
_cell_angle_beta 119.18
_cell_angle_gamma 90.00
_symmetry_space_group_name_H-M 'P 1 21/c 1'
_symmetry_Int_Tables_number 14
loop_
_symmetry_equiv_pos_as_xyz
'x,y,z'
'-x,-y,-z'
'-x,y+1/2,-z+1/2'
'x,-y+1/2,z+1/2'
loop_
_atom_site_label
_atom_site_type_symbol
_atom_site_fract_x
_atom_site_fract_y
_atom_site_fract_z
Hg1 Hg 0.121 0.040 0.212
I1 I 0.327 0.130 0.647
# **ΔE_f (raw)**: -0.2391 eV per atom
# **Energy above the lowest structure with this stoichiometry**: 0.07 kcal/mol of atoms